1.
VASP calculation (PBE) on a relaxed structure of Tb9Dy2Tm3.

Cell lengths 6.4160, 8.4005, 8.7659 Å; angles 87.58, 82.34, 70.82 degrees
Space group P1 (No. 1)
Symmetry-distinct sites (fractional):
Tb: 0.0000 0.0000 0.0000 x1
Tb: 0.0264 0.5564 0.0505 x1
Tb: 0.1445 0.2070 0.2784 x1
Tb: 0.2756 0.9886 0.6114 x1
Tb: 0.3940 0.6416 0.8062 x1
Tb: 0.4279 0.2029 0.8692 x1
Tb: 0.5834 0.4062 0.1339 x1
Tb: 0.7024 0.0499 0.3846 x1
Tb: 0.8516 0.7939 0.7132 x1
Dy: 0.1837 0.7613 0.3321 x1
Dy: 0.3280 0.4108 0.5273 x1
Tm: 0.5504 0.8494 0.0863 x1
Tm: 0.7270 0.6178 0.4199 x1
Tm: 0.8769 0.3515 0.7354 x1

Results
Energy   -63.13 eV for the cell shown
Total magnetic moment   0.00 μB/f.u.
Volume   31.590 Å³ per atom

***

2.
VASP calculation (PBE) on a relaxed structure of Tb8DyTm5.

Cell lengths 9.4807, 9.4807, 10.0669 Å; angles 90.00, 90.00, 90.00 degrees
Space group I-4 (No. 82)
Symmetry-distinct sites (fractional):
Tb: 0.0695 0.3248 0.4036 x8
Tb: 0.0899 0.1737 0.7473 x8
Dy: 0.0000 0.5000 0.7500 x2
Tm: 0.0000 0.0000 0.5000 x2
Tm: 0.1108 0.2072 0.0742 x8

Results
Energy   -120.79 eV for the cell shown
Total magnetic moment   0.00 μB/f.u.
Volume   32.316 Å³ per atom

***

3.
VASP calculation (PBE) on a relaxed structure of Tb2Dy4Tm.

Cell lengths 3.5611, 3.5611, 19.9179 Å; angles 90.00, 90.00, 120.00 degrees
Space group P3m1 (No. 156)
Symmetry-distinct sites (fractional):
Tb: 0.0000 0.0000 0.0000 x1
Tb: 0.0000 0.0000 0.2862 x1
Dy: 0.3333 0.6667 0.1431 x1
Dy: 0.3333 0.6667 0.8559 x1
Dy: 0.6667 0.3333 0.4299 x1
Dy: 0.6667 0.3333 0.7117 x1
Tm: 0.0000 0.0000 0.5702 x1

Results
Energy   -32.12 eV for the cell shown
Total magnetic moment   0.00 μB/f.u.
Volume   31.249 Å³ per atom

***

4.
VASP calculation (PBE) on a relaxed structure of Tb4Dy4Tm3.

Cell lengths 3.4952, 5.5580, 17.8947 Å; angles 81.09, 84.41, 90.00 degrees
Space group P-1 (No. 2)
Symmetry-distinct sites (fractional):
Tb: 0.0900 0.0891 0.3200 x2
Tb: 0.2332 0.7328 0.0342 x2
Dy: 0.0453 0.5450 0.4085 x2
Dy: 0.1791 0.1796 0.1404 x2
Tm: 0.3642 0.3643 0.7723 x2
Tm: 0.5000 0.0000 0.5000 x1

Results
Energy   -49.69 eV for the cell shown
Total magnetic moment   0.00 μB/f.u.
Volume   31.069 Å³ per atom

***

5.
VASP calculation (PBE) on a relaxed structure of Tb2Dy2Tm.

Cell lengths 3.5783, 5.6311, 31.3958 Å; angles 90.00, 90.00, 90.00 degrees
Space group Imma (No. 74)
Symmetry-distinct sites (fractional):
Tb: 0.0000 0.2500 0.0217 x4
Tb: 0.0000 0.2500 0.1201 x4
Dy: 0.0000 0.2500 0.2922 x4
Dy: 0.0000 0.2500 0.8071 x4
Tm: 0.0000 0.2500 0.5783 x4

Results
Energy   -88.92 eV for the cell shown
Total magnetic moment   0.00 μB/f.u.
Volume   31.631 Å³ per atom

***

6.
VASP calculation (PBE) on a relaxed structure of Tb6Dy6Tm.

Cell lengths 6.9664, 10.9803, 11.0934 Å; angles 90.00, 90.00, 90.00 degrees
Space group Cmmm (No. 65)
Symmetry-distinct sites (fractional):
Tb: 0.0000 0.0000 0.1963 x4
Tb: 0.2500 0.2500 0.2764 x8
Dy: 0.0000 0.1453 0.5000 x4
Dy: 0.0000 0.2379 0.0000 x4
Dy: 0.0000 0.5000 0.1674 x4
Tm: 0.0000 0.5000 0.5000 x2

Results
Energy   -113.43 eV for the cell shown
Total magnetic moment   0.00 μB/f.u.
Volume   32.637 Å³ per atom

***

7.
VASP calculation (PBE) on a relaxed structure of Tb4Dy4Tm.

Cell lengths 5.4856, 6.7813, 8.7102 Å; angles 110.75, 108.22, 90.01 degrees
Space group P-1 (No. 2)
Symmetry-distinct sites (fractional):
Tb: 0.1334 0.4679 0.2646 x2
Tb: 0.2813 0.2074 0.5635 x2
Dy: 0.0760 0.8854 0.1487 x2
Dy: 0.3624 0.7959 0.7272 x2
Tm: 0.5000 0.5000 0.0000 x1

Results
Energy   -40.44 eV for the cell shown
Total magnetic moment   0.00 μB/f.u.
Volume   31.729 Å³ per atom

***

8.
VASP calculation (PBE) on a relaxed structure of TbDy2Tm5.

Cell lengths 6.3813, 9.3945, 9.6956 Å; angles 107.32, 102.88, 107.37 degrees
Space group P-1 (No. 2)
Symmetry-distinct sites (fractional):
Tb: 0.2194 0.4338 0.4838 x2
Dy: 0.2349 0.9317 0.8040 x2
Dy: 0.3736 0.2717 0.1600 x2
Tm: 0.0027 0.8461 0.4036 x2
Tm: 0.0394 0.5132 0.8273 x2
Tm: 0.1604 0.8662 0.1186 x2
Tm: 0.4939 0.3501 0.8488 x2
Tm: 0.5004 0.1783 0.4861 x2

Results
Energy   -70.33 eV for the cell shown
Total magnetic moment   0.00 μB/f.u.
Volume   31.099 Å³ per atom

***

9.
VASP calculation (PBE) on a relaxed structure of Tb12Dy5Tm.

Cell lengths 15.0215, 15.0436, 5.0111 Å; angles 90.00, 90.00, 90.00 degrees
Space group Cmmm (No. 65)
Symmetry-distinct sites (fractional):
Tb: 0.1660 0.0000 0.0000 x4
Tb: 0.1662 0.1664 0.5000 x8
Tb: 0.1666 0.3333 0.0000 x8
Tb: 0.1667 0.5000 0.5000 x4
Dy: 0.0000 0.1663 0.0000 x4
Dy: 0.0000 0.3333 0.5000 x4
Dy: 0.0000 0.5000 0.0000 x2
Tm: 0.0000 0.0000 0.5000 x2

Results
Energy   -165.48 eV for the cell shown
Total magnetic moment   0.00 μB/f.u.
Volume   31.455 Å³ per atom

***

10.
VASP calculation (PBE) on a relaxed structure of TbDy4Tm5.

Cell lengths 16.9658, 3.4874, 10.8341 Å; angles 90.00, 90.14, 90.00 degrees
Space group C2/m (No. 12)
Symmetry-distinct sites (fractional):
Tb: 0.0000 0.0000 0.0000 x2
Dy: 0.0273 0.5000 0.7488 x4
Dy: 0.1534 0.0000 0.2497 x4
Tm: 0.0000 0.0000 0.5000 x2
Tm: 0.1732 0.5000 0.5503 x4
Tm: 0.1739 0.5000 0.9475 x4

Results
Energy   -86.96 eV for the cell shown
Total magnetic moment   0.00 μB/f.u.
Volume   32.050 Å³ per atom

***

11.
VASP calculation (PBE) on a relaxed structure of Tb5Dy3Tm2.

Cell lengths 10.9644, 17.6077, 6.7068 Å; angles 90.00, 90.00, 90.00 degrees
Space group Ibam (No. 72)
Symmetry-distinct sites (fractional):
Tb: 0.0000 0.0000 0.2500 x4
Tb: 0.0000 0.3175 0.2500 x8
Tb: 0.1080 0.1703 0.0000 x8
Dy: 0.0000 0.5000 0.2500 x4
Dy: 0.2067 0.1691 0.5000 x8
Tm: 0.2361 0.4765 0.5000 x8

Results
Energy   -172.79 eV for the cell shown
Total magnetic moment   0.00 μB/f.u.
Volume   32.370 Å³ per atom

***

12.
VASP calculation (PBE) on a relaxed structure of Tb4DyTm2.

Cell lengths 6.1302, 6.4803, 11.4447 Å; angles 90.00, 105.55, 90.00 degrees
Space group P2_1/m (No. 11)
Symmetry-distinct sites (fractional):
Tb: 0.0278 0.2500 0.3590 x2
Tb: 0.1450 0.2500 0.9449 x2
Tb: 0.3495 0.5034 0.2132 x4
Dy: 0.1606 0.2500 0.6601 x2
Tm: 0.2920 0.7500 0.9284 x2
Tm: 0.3923 0.7500 0.5019 x2

Results
Energy   -62.20 eV for the cell shown
Total magnetic moment   0.00 μB/f.u.
Volume   31.286 Å³ per atom